# BaIrO3

A relaxed BaIrO3 crystal (PBE, OQMD).

The final energy is -6.56 eV per atom.

```
BaIrO3
1.0
2.831 1.634 5.558
-2.831 1.634 5.558
0.000 -3.269 5.558
Ba Ir O
2 2 6
direct
0.129 0.129 0.129
0.871 0.871 0.871
0.335 0.335 0.335
0.665 0.665 0.665
0.061 0.463 0.672
0.328 0.939 0.537
0.463 0.672 0.061
0.537 0.328 0.939
0.672 0.061 0.463
0.939 0.537 0.328
```

---

# CsRb3Cd2Ge2

A relaxed CsRb3Cd2Ge2 crystal (PBE, OQMD).

The final energy is -1.98 eV per atom.

```
CsRb3Cd2Ge2
1.0
7.027 0.000 0.000
0.000 6.719 0.000
-1.995 0.000 6.772
Cs Rb Cd Ge
1 3 2 2
direct
0.000 0.000 0.000
0.288 0.500 0.287
0.656 0.000 0.338
0.941 0.500 0.624
0.468 0.250 0.811
0.468 0.750 0.811
0.235 0.000 0.560
0.711 0.500 0.053
```

---

# TcAgB2

A relaxed TcAgB2 crystal (PBE, OQMD).

The final energy is -5.05 eV per atom.

```
TcAgB2
1.0
0.000 2.877 2.877
2.877 0.000 2.877
2.877 2.877 0.000
Tc Ag B
1 1 2
direct
0.000 0.000 0.000
0.250 0.250 0.250
0.500 0.500 0.500
0.750 0.750 0.750
```

---

# SmGdZn4

A relaxed SmGdZn4 crystal (PBE, OQMD).

The final energy is -2.79 eV per atom.

```
SmGdZn4
1.0
-2.255 3.602 3.784
2.255 -3.602 3.784
2.255 3.602 -3.784
Sm Gd Zn
1 1 4
direct
0.000 0.000 0.000
0.560 0.060 0.500
0.162 0.366 0.796
0.403 0.698 0.705
0.570 0.366 0.204
0.993 0.698 0.295
```

---

# HgPbO3

A relaxed HgPbO3 crystal (PBE, OQMD).

The final energy is -3.96 eV per atom.

```
HgPbO3
1.0
4.182 0.000 0.000
0.000 4.182 0.000
0.000 0.000 4.402
Hg Pb O
1 1 3
direct
0.000 0.000 0.000
0.500 0.500 0.421
0.000 0.000 0.510
0.000 0.500 0.091
0.500 0.000 0.091
```

---

# Pr5Bi3

A relaxed Pr5Bi3 crystal (PBE, OQMD).

The final energy is -5.30 eV per atom.

```
Pr5Bi3
1.0
9.557 0.000 0.000
-4.778 8.276 0.000
0.000 0.000 6.622
Pr Bi
10 6
direct
0.000 0.248 0.250
0.000 0.752 0.750
0.248 0.000 0.250
0.248 0.248 0.750
0.333 0.667 0.000
0.333 0.667 0.500
0.667 0.333 0.000
0.667 0.333 0.500
0.752 0.000 0.750
0.752 0.752 0.250
0.000 0.387 0.750
0.000 0.613 0.250
0.387 0.000 0.750
0.387 0.387 0.250
0.613 0.000 0.250
0.613 0.613 0.750
```

---

# Mg3Cd2Au3

A relaxed Mg3Cd2Au3 crystal (PBE, OQMD).

For the energy above the lowest structure with this stoichiometry, the calculation gives 0 meV/atom. The final energy is -2.39 eV per atom.

```
Mg3Cd2Au3
1.0
5.929 0.000 0.000
0.000 4.803 0.000
-2.944 0.000 5.310
Mg Cd Au
3 2 3
direct
0.000 0.000 0.000
0.024 0.000 0.494
0.364 0.500 0.209
0.512 0.000 0.002
0.845 0.500 0.683
0.336 0.500 0.692
0.519 0.000 0.491
0.867 0.500 0.177
```

---

# SiSn2Au

A relaxed SiSn2Au crystal (PBE, OQMD).

The final energy is -3.86 eV per atom.

```
SiSn2Au
1.0
0.000 3.544 3.544
3.544 0.000 3.544
3.544 3.544 0.000
Si Sn Au
1 2 1
direct
0.000 0.000 0.000
0.500 0.500 0.500
0.750 0.750 0.750
0.250 0.250 0.250
```

---

# HfScCo2

A relaxed HfScCo2 crystal (PBE, OQMD).

For the energy above the lowest structure with this stoichiometry, the calculation gives 7 meV/atom. The final energy is -8.02 eV per atom.

```
HfScCo2
1.0
0.000 3.131 3.131
3.131 0.000 3.131
3.131 3.131 0.000
Hf Sc Co
1 1 2
direct
0.000 0.000 0.000
0.500 0.500 0.500
0.250 0.250 0.250
0.750 0.750 0.750
```

---

# NbAlFeOs

A relaxed NbAlFeOs crystal (PBE, OQMD).

For the energy above the lowest structure with this stoichiometry, the calculation gives 0 meV/atom. The final energy is -8.75 eV per atom.

```
NbAlFeOs
1.0
0.000 3.049 3.049
3.049 0.000 3.049
3.049 3.049 0.000
Nb Al Fe Os
1 1 1 1
direct
0.000 0.000 0.000
0.500 0.500 0.500
0.750 0.750 0.750
0.250 0.250 0.250
```

---

# YTaCuIr

A relaxed YTaCuIr crystal (PBE, OQMD).

For the energy above the lowest structure with this stoichiometry, the calculation gives 0 meV/atom. The final energy is -7.91 eV per atom.

```
YTaCuIr
1.0
0.000 3.302 3.302
3.302 0.000 3.302
3.302 3.302 0.000
Y Ta Cu Ir
1 1 1 1
direct
0.000 0.000 0.000
0.500 0.500 0.500
0.250 0.250 0.250
0.750 0.750 0.750
```

---

Which of these has the lowest final energy?
NbAlFeOs

---

What did the second record say?
# CsRb3Cd2Ge2

A relaxed CsRb3Cd2Ge2 crystal (PBE, OQMD).

The final energy is -1.98 eV per atom.

```
CsRb3Cd2Ge2
1.0
7.027 0.000 0.000
0.000 6.719 0.000
-1.995 0.000 6.772
Cs Rb Cd Ge
1 3 2 2
direct
0.000 0.000 0.000
0.288 0.500 0.287
0.656 0.000 0.338
0.941 0.500 0.624
0.468 0.250 0.811
0.468 0.750 0.811
0.235 0.000 0.560
0.711 0.500 0.053
```

---

Which value of final energy does entry 4 give?
-2.79 eV per atom